Record 1
# YZrHg2 | Alexandria via LeMat-Bulk | GGA-PBE | relaxed
data_YZrHg2
_chemical_formula_sum 'Y4 Zr4 Hg8'
_cell_length_a 7.937
_cell_length_b 7.937
_cell_length_c 6.707
_cell_angle_alpha 90.00
_cell_angle_beta 90.00
_cell_angle_gamma 90.00
_space_group_name_H-M_alt 'I -4 2 d'
_space_group_IT_number 122
_space_group_name_Hall 'I -4 2bw'
loop_
_atom_site_label
_atom_site_fract_x
_atom_site_fract_y
_atom_site_fract_z
Y1 0.000 0.000 0.000
Zr1 0.000 0.000 0.500
Hg1 0.233 0.750 0.625
# * M_tot: 0.5 μB/f.u.
# * calculated formation energy: 0.1 eV/f.u.
# * energy above the lowest structure with this stoichiometry: 316.1 meV per atom
# * DOS at the Fermi energy: 17.18 states/eV per cell


Record 2
# La2Pm2SmCd | Alexandria via LeMat-Bulk | GGA-PBE | relaxed
data_La2Pm2SmCd
_chemical_formula_sum 'La4 Pm4 Sm2 Cd2'
_cell_length_a 6.890
_cell_length_b 9.843
_cell_length_c 5.714
_cell_angle_alpha 90.00
_cell_angle_beta 90.00
_cell_angle_gamma 90.00
_space_group_name_H-M_alt 'P n n m'
_space_group_IT_number 58
_space_group_name_Hall '-P 2 2n'
loop_
_atom_site_label
_atom_site_fract_x
_atom_site_fract_y
_atom_site_fract_z
La1 0.240 0.170 0.000
Pm1 0.245 0.830 0.000
Sm1 0.000 0.500 0.000
Cd1 0.000 0.000 0.500
# * M_tot: 0.0 μB/f.u.
# * calculated formation energy: 0.3 eV/f.u.
# * DOS at the Fermi energy: 19.96 states/eV per cell


Calculated density
In order: 9.138 7.118
Unit: g/cm3
Final energy
In order: -0.2843 -0.3028
Unit: Ry per atom